1.
# ThAl10Cr2, relaxed, DFT GGA-PBE
# DFT formation energy ... -0.22 eV/atom
# Final energy ... -5.152 eV per atom
# N(E_F) ... 17.805 states/eV per cell
data_ThAl10Cr2
_chemical_formula_sum 'Th2 Al20 Cr4'
_symmetry_space_group_name_H-M 'P 1'
_symmetry_Int_Tables_number 1
_cell_length_a 6.9000
_cell_length_b 6.9000
_cell_length_c 9.2100
_cell_angle_alpha 90.00
_cell_angle_beta 90.00
_cell_angle_gamma 97.45
loop_
_symmetry_equiv_pos_as_xyz
'x,y,z'
loop_
_atom_site_label
_atom_site_type_symbol
_atom_site_fract_x
_atom_site_fract_y
_atom_site_fract_z
Th1 Th 0.1248 0.8752 0.7500
Th2 Th 0.8752 0.1248 0.2500
Al1 Al 0.1341 0.4078 0.7500
Al2 Al 0.1598 0.8402 0.0991
Al3 Al 0.1598 0.8402 0.4009
Al4 Al 0.2198 0.4800 0.2500
Al5 Al 0.2305 0.2305 0.0000
Al6 Al 0.2305 0.2305 0.5000
Al7 Al 0.3758 0.6242 0.5453
Al8 Al 0.3758 0.6242 0.9547
Al9 Al 0.4078 0.1341 0.2500
Al10 Al 0.4800 0.2198 0.7500
Al11 Al 0.5200 0.7802 0.2500
Al12 Al 0.5922 0.8659 0.7500
Al13 Al 0.6242 0.3758 0.0453
Al14 Al 0.6242 0.3758 0.4547
Al15 Al 0.7695 0.7695 0.0000
Al16 Al 0.7695 0.7695 0.5000
Al17 Al 0.7802 0.5200 0.7500
Al18 Al 0.8402 0.1598 0.5991
Al19 Al 0.8402 0.1598 0.9009
Al20 Al 0.8659 0.5922 0.2500
Cr1 Cr 0.0000 0.5000 0.0000
Cr2 Cr 0.0000 0.5000 0.5000
Cr3 Cr 0.5000 0.0000 0.0000
Cr4 Cr 0.5000 0.0000 0.5000

***

2.
# Fe2NiAg, relaxed, DFT GGA-PBE
# DFT formation energy ... 0.19 eV/atom
# Final energy ... -6.204 eV per atom
# N(E_F) ... 3.666 states/eV per cell
# ΔE to the lowest computed polymorph ... 0 kJ/mol of formula units
data_Fe2NiAg
_chemical_formula_sum 'Fe2 Ni1 Ag1'
_symmetry_space_group_name_H-M 'P 1'
_symmetry_Int_Tables_number 1
_cell_length_a 2.8190
_cell_length_b 2.9808
_cell_length_c 6.3368
_cell_angle_alpha 90.00
_cell_angle_beta 90.00
_cell_angle_gamma 90.00
loop_
_symmetry_equiv_pos_as_xyz
'x,y,z'
loop_
_atom_site_label
_atom_site_type_symbol
_atom_site_fract_x
_atom_site_fract_y
_atom_site_fract_z
Fe1 Fe 0.0000 0.0000 0.0000
Fe2 Fe 0.5000 0.5000 0.2232
Ni1 Ni 0.0000 0.0000 0.4282
Ag1 Ag 0.5000 0.5000 0.7107